NpCrOs2 | GGA-PBE | optimized geometry

Calculated values
energy relative to the lowest polymorph listed for this composition: 0 meV/atom
crystal system: tetragonal
space-group type: No. 123
density of states at the Fermi level: 6.1 states/eV/f.u.

Lattice parameters (Å, degrees): 2.9202 2.9202 7.3497 90.00 90.00 90.00
Positions (direct):
Np (0.0000, 0.0000, 0.0000)
Cr (0.0000, 0.0000, 0.5000)
Os (0.5000, 0.5000, 0.2953)
Os (0.5000, 0.5000, 0.7047)

---

NpCrOs2 | GGA-PBE | optimized geometry

Calculated values
energy relative to the lowest polymorph listed for this composition: 17 meV/atom
crystal system: tetragonal
space-group type: No. 123
density of states at the Fermi level: 7.4 states/eV/f.u.

Lattice parameters (Å, degrees): 4.0507 4.0507 3.8450 90.00 90.00 90.00
Positions (direct):
Np (0.0000, 0.0000, 0.0000)
Cr (0.5000, 0.5000, 0.0000)
Os (0.0000, 0.5000, 0.5000)
Os (0.5000, 0.0000, 0.5000)

---

NpUCrOs | GGA-PBE | optimized geometry

Calculated values
E: -44.68 eV for the cell shown
crystal system: cubic
space-group type: No. 216
density of states at the Fermi level: 6.6 states/eV/f.u.

Lattice parameters (Å, degrees): 4.5534 4.5534 4.5534 60.00 60.00 60.00
Positions (direct):
Np (0.0000, 0.0000, 0.0000)
U (0.2500, 0.2500, 0.2500)
Cr (0.7500, 0.7500, 0.7500)
Os (0.5000, 0.5000, 0.5000)

---

NpCrP2 | GGA-PBE | optimized geometry

Calculated values
energy relative to the lowest polymorph listed for this composition: 0 meV/atom
crystal system: tetragonal
space-group type: No. 139
density of states at the Fermi level: 7.0 states/eV/f.u.

Lattice parameters (Å, degrees): 9.8936 9.8936 9.8936 158.43 158.43 30.69
Positions (direct):
Np (0.1079, 0.1079, 0.0000)
Np (0.8921, 0.8921, 0.0000)
Cr (0.2500, 0.7500, 0.5000)
Cr (0.7500, 0.2500, 0.5000)
P (0.0000, 0.5000, 0.5000)
P (0.3261, 0.3261, 0.0000)
P (0.5000, 0.0000, 0.5000)
P (0.6739, 0.6739, 0.0000)

---

NpCrP | GGA-PBE | optimized geometry

Calculated values
E: -28.51 eV for the cell shown
crystal system: tetragonal
space-group type: No. 107
density of states at the Fermi level: 6.4 states/eV/f.u.

Lattice parameters (Å, degrees): 5.5281 5.5281 5.5281 147.96 147.96 45.94
Positions (direct):
Np (0.0000, 0.0000, 0.0000)
Cr (0.3064, 0.3064, 0.0000)
P (0.7057, 0.7057, 0.0000)

---

NpCrP2 | GGA-PBE | optimized geometry

Calculated values
energy relative to the lowest polymorph listed for this composition: 107 meV/atom
crystal system: trigonal
space-group type: No. 160
density of states at the Fermi level: 4.5 states/eV/f.u.

Lattice parameters (Å, degrees): 6.5071 6.5071 6.5071 31.79 31.79 31.79
Positions (direct):
Np (0.0000, 0.0000, 0.0000)
Cr (0.1754, 0.1754, 0.1754)
P (0.4382, 0.4382, 0.4382)
P (0.5701, 0.5701, 0.5701)

---

NpCrP2 | GGA-PBE | optimized geometry

Calculated values
energy relative to the lowest polymorph listed for this composition: 217 meV/atom
crystal system: tetragonal
space-group type: No. 119
density of states at the Fermi level: 5.7 states/eV/f.u.

Lattice parameters (Å, degrees): 6.5899 6.5899 6.5899 149.24 149.24 44.05
Positions (direct):
Np (0.0000, 0.0000, 0.0000)
Cr (0.2500, 0.7500, 0.5000)
P (0.3746, 0.3746, 0.0000)
P (0.6254, 0.6254, 0.0000)

---

NpCrP3 | GGA-PBE | optimized geometry

Calculated values
E: -166.58 eV for the cell shown
crystal system: orthorhombic
space-group type: No. 57
density of states at the Fermi level: 7.5 states/eV/f.u.

Lattice parameters (Å, degrees): 11.6541 5.1792 5.3038 90.00 90.00 90.00
Positions (direct):
Np (0.1883, 0.0048, 0.2500)
Np (0.1883, 0.4952, 0.7500)
Np (0.8117, 0.5048, 0.2500)
Np (0.8117, 0.9952, 0.7500)
Cr (0.4220, 0.7500, 0.0000)
Cr (0.4220, 0.7500, 0.5000)
Cr (0.5780, 0.2500, 0.0000)
Cr (0.5780, 0.2500, 0.5000)
P (0.0017, 0.7500, 0.0000)
P (0.0017, 0.7500, 0.5000)
P (0.2902, 0.0014, 0.7500)
P (0.2902, 0.4986, 0.2500)
P (0.4248, 0.1204, 0.2500)
P (0.4248, 0.3796, 0.7500)
P (0.5752, 0.6204, 0.2500)
P (0.5752, 0.8796, 0.7500)
P (0.7098, 0.5014, 0.7500)
P (0.7098, 0.9986, 0.2500)
P (0.9983, 0.2500, 0.0000)
P (0.9983, 0.2500, 0.5000)

---

NpCrP2 | GGA-PBE | optimized geometry

Calculated values
energy relative to the lowest polymorph listed for this composition: 15 meV/atom
crystal system: trigonal
space-group type: No. 166
density of states at the Fermi level: 6.6 states/eV/f.u.

Lattice parameters (Å, degrees): 6.0888 6.0888 6.0888 35.81 35.81 35.81
Positions (direct):
Np (0.0000, 0.0000, 0.0000)
Cr (0.5000, 0.5000, 0.5000)
P (0.2351, 0.2351, 0.2351)
P (0.7649, 0.7649, 0.7649)

---

NpCrP2Rh | GGA-PBE | optimized geometry

Calculated values
E: -44.08 eV for the cell shown
crystal system: tetragonal
space-group type: No. 119
density of states at the Fermi level: 8.9 states/eV/f.u.

Lattice parameters (Å, degrees): 5.8965 5.8965 5.8965 141.66 141.66 55.34
Positions (direct):
Np (0.0000, 0.0000, 0.0000)
Cr (0.7500, 0.2500, 0.5000)
P (0.3818, 0.3818, 0.0000)
P (0.6182, 0.6182, 0.0000)
Rh (0.2500, 0.7500, 0.5000)

---

NpCrP2Ru2 | GGA-PBE | optimized geometry

Calculated values
E: -109.27 eV for the cell shown
crystal system: orthorhombic
space-group type: No. 26
density of states at the Fermi level: 8.5 states/eV/f.u.

Lattice parameters (Å, degrees): 3.8175 6.3828 7.5369 90.00 90.00 90.00
Positions (direct):
Np (0.0000, 0.1419, 0.0000)
Np (0.0000, 0.8581, 0.5000)
Cr (0.5000, 0.1623, 0.3869)
Cr (0.5000, 0.8377, 0.8869)
P (0.0000, 0.3569, 0.3174)
P (0.0000, 0.6431, 0.8174)
P (0.5000, 0.1268, 0.6968)
P (0.5000, 0.8732, 0.1968)
Ru (0.0000, 0.3478, 0.6264)
Ru (0.0000, 0.6522, 0.1264)
Ru (0.5000, 0.4241, 0.8954)
Ru (0.5000, 0.5759, 0.3954)

---

Np2Cr2P2S | GGA-PBE | optimized geometry

Calculated values
raw formation energy: -0.265 eV/atom
crystal system: tetragonal
space-group type: No. 139
density of states at the Fermi level: 15.0 states/eV/f.u.

Lattice parameters (Å, degrees): 7.7138 7.7138 7.7138 149.00 149.00 44.41
Positions (direct):
Np (0.1802, 0.1802, 0.0000)
Np (0.8198, 0.8198, 0.0000)
Cr (0.0000, 0.5000, 0.5000)
Cr (0.5000, 0.0000, 0.5000)
P (0.3831, 0.3831, 0.0000)
P (0.6169, 0.6169, 0.0000)
S (0.0000, 0.0000, 0.0000)

---

Q: Among the records above, which one has the lowest density of states at the Fermi level?
A: number 6

---

Q: What is the formula in the second record?
A: NpCrOs2